# ZrTaZn2

A relaxed structure of ZrTaZn2 (GGA-PBEsol, Alexandria).

The total magnetization is 0.00 μB/f.u. The total energy comes out at -6.3015 eV/atom. Its formation energy from the elements is -0.4 eV per formula unit. Its symmetry is No. 139.

Lattice parameters (Å, degrees): 4.122 4.122 4.855 115.12 115.12 90.00
Fractional coordinates of all 4 atoms:
Zn 0.250 0.750 0.500
Ta 0.000 0.000 0.000
Zr 0.500 0.500 0.000
Zn 0.750 0.250 0.500